Arrangement one

Computed, not measured: a relaxed Na3InPt crystal at the GGA-PBE level of DFT.

abc: 5.428 5.428 5.428
angles: 90.00 90.00 90.00
Element x y z (fractional)
1 Na 0.000 0.500 0.000
2 Na 0.000 0.000 0.500
3 Na 0.500 0.000 0.000
4 Pt 0.000 0.000 0.000
5 In 0.500 0.500 0.500

***

Arrangement two

Computed, not measured: a relaxed Na3InPt crystal at the GGA-PBE level of DFT.

abc: 8.651 8.063 6.855
angles: 126.02 122.98 90.00
Element x y z (fractional)
1 Na 0.000 0.000 0.000
2 Na 0.500 0.695 0.000
3 Na 0.497 0.776 0.553
4 Na 0.503 0.224 0.447
5 Na 0.000 0.500 0.000
6 Na 0.500 0.305 0.000
7 In 0.000 0.500 0.500
8 In 0.000 0.000 0.500
9 Pt 0.267 0.881 0.761
10 Pt 0.733 0.119 0.239

***

Arrangement three

Computed, not measured: a relaxed Na3InPt crystal at the GGA-PBE level of DFT.

abc: 5.548 5.548 5.548
angles: 90.00 90.00 90.00
Element x y z (fractional)
1 Na 0.000 0.500 0.000
2 Na 0.000 0.000 0.500
3 Na 0.500 0.000 0.000
4 Pt 0.500 0.500 0.500
5 In 0.000 0.000 0.000

***

Need the numbers? Relative energies in meV/atom: arrangement one 300; arrangement two 0; arrangement three 871.

***

Arrangement one

Computed, not measured: a relaxed RbNaIn2Pt crystal at the GGA-PBE level of DFT.

abc: 5.246 5.246 6.353
angles: 90.00 90.00 90.00
Element x y z (fractional)
1 Na 0.500 0.500 0.500
2 Rb 0.000 0.000 0.500
3 Pt 0.000 0.000 0.000
4 In 0.000 0.500 0.000
5 In 0.500 0.000 0.000

***

Arrangement two

Computed, not measured: a relaxed RbNaIn2Pt crystal at the GGA-PBE level of DFT.

abc: 5.231 5.231 5.795
angles: 90.00 90.00 90.00
Element x y z (fractional)
1 Na 0.000 0.000 0.500
2 Rb 0.500 0.500 0.500
3 Pt 0.000 0.000 0.000
4 In 0.000 0.500 0.000
5 In 0.500 0.000 0.000

***

Need the numbers? Relative energies in meV/atom: arrangement one 142; arrangement two 0.

***

Arrangement one

Computed, not measured: a relaxed NaPuIn4 crystal at the GGA-PBE level of DFT.

abc: 6.125 6.125 6.125
angles: 60.00 60.00 60.00
Last column: magnetic moment on the atom in μB.
Element x y z (fractional)
1 Na 0.250 0.250 0.250  0.00
2 In 0.625 0.625 0.124  0.00
3 In 0.625 0.124 0.625  0.00
4 In 0.625 0.625 0.625  0.00
5 In 0.124 0.625 0.625  0.00
6 Pu 0.000 0.000 0.000  5.61

***

Arrangement two

Computed, not measured: a relaxed NaPuIn4 crystal at the GGA-PBE level of DFT.

abc: 3.321 5.147 9.036
angles: 90.00 89.99 90.00
Last column: magnetic moment on the atom in μB.
Element x y z (fractional)
1 Na 0.500 0.000 0.000  0.00
2 Pu 0.500 0.500 0.500  5.55
3 In 0.000 0.000 0.667  -0.01
4 In 0.000 0.500 0.836  -0.01
5 In 0.000 0.000 0.333  -0.01
6 In 0.000 0.500 0.164  -0.01

***

Need the numbers? Relative energies in meV/atom: arrangement one 98; arrangement two 0.

***

Arrangement one

Computed, not measured: a relaxed RbNaIn2 crystal at the GGA-PBE level of DFT.

abc: 8.451 8.838 8.552
angles: 90.00 90.00 90.00
Element x y z (fractional)
1 Rb 0.750 0.019 0.362
2 Rb 0.750 0.519 0.138
3 Rb 0.250 0.981 0.638
4 Rb 0.250 0.481 0.862
5 Na 0.750 0.837 0.817
6 Na 0.750 0.337 0.683
7 Na 0.250 0.163 0.183
8 Na 0.250 0.663 0.317
9 In 0.926 0.643 0.542
10 In 0.574 0.143 0.958
11 In 0.426 0.357 0.458
12 In 0.074 0.857 0.042
13 In 0.074 0.357 0.458
14 In 0.426 0.857 0.042
15 In 0.574 0.643 0.542
16 In 0.926 0.143 0.958

***

Arrangement two

Computed, not measured: a relaxed RbNaIn2 crystal at the GGA-PBE level of DFT.

abc: 5.317 5.317 7.422
angles: 69.01 69.01 60.00
Element x y z (fractional)
1 Na 0.500 0.500 0.500
2 Rb 0.000 0.000 0.000
3 In 0.186 0.186 0.441
4 In 0.814 0.814 0.559

***

Need the numbers? Relative energies in meV/atom: arrangement one 44; arrangement two 0.